Computed, not measured: an optimized crystal structure of PrEr4Zn5 at the PBE-GGA level of DFT.

- magnetic moment (μB per formula unit) = 0.0
- E_tot (eV/atom) = -3.27
- formation energy (eV/atom) = -0.333

Lattice parameters (Å, degrees): 3.562 3.562 17.963 90.00 90.00 90.00
Space group P4/mmm (No. 123)
One atom of each set of equivalent atoms:
1 Pr 0.000 0.000 0.000
2 Er 0.000 0.000 0.206
3 Er 0.000 0.000 0.403
4 Zn 0.500 0.500 0.113
5 Zn 0.500 0.500 0.304
6 Zn 0.500 0.500 0.500